Below is crystalline Tb2Al5Pt at its relaxed geometry, with properties calculated at the PBE level.

Lattice parameters (Å, degrees): 6.100 6.100 6.100 92.23 118.72 118.72
Fractional coordinates of all 8 atoms:
1 Pt 0.000 0.947 0.947
2 Tb 0.500 0.758 0.258
3 Tb 0.500 0.258 0.758
4 Al 0.000 0.721 0.286
5 Al 0.565 0.286 0.286
6 Al 0.000 0.245 0.245
7 Al 0.435 0.721 0.721
8 Al 0.000 0.286 0.721

Calculated values
Energy relative to the elements = -11.84 kcal/mol of atoms
DOS(E_F) = 5.05 states/eV/cell
Final energy = -4.765 eV per atom
Space group = No. 107